# 1
## BaAgO3 (PBE)

Data for a relaxed structure of BaAgO3.

Results
- E_form (uncorrected): -0.950 eV/atom

```
data_BaAgO3
_chemical_formula_sum 'Ba4 Ag4 O12'
_space_group_name_H-M_alt 'C m c m'
_space_group_IT_number 63
_space_group_name_Hall '-C 2c 2'
_cell_length_a 3.9195
_cell_length_b 14.3746
_cell_length_c 6.4914
_cell_angle_alpha 90.00
_cell_angle_beta 90.00
_cell_angle_gamma 90.00
loop_
_atom_site_label
_atom_site_fract_x
_atom_site_fract_y
_atom_site_fract_z
Ba1 0.0000 0.0838 0.2500
Ag1 0.0000 0.3873 0.2500
O1 0.0000 0.5000 0.0000
O2 0.1734 0.2456 0.7500
```

***

# 2
## BaNa2TiC (PBE)

Data for a relaxed structure of BaNa2TiC.

Results
- Calculated formation energy: 1.780 eV/atom

```
data_BaNa2TiC
_chemical_formula_sum 'Ba1 Na2 Ti1 C1'
_space_group_name_H-M_alt 'P 4/m m m'
_space_group_IT_number 123
_space_group_name_Hall '-P 4 2'
_cell_length_a 6.2408
_cell_length_b 6.2408
_cell_length_c 4.7002
_cell_angle_alpha 90.00
_cell_angle_beta 90.00
_cell_angle_gamma 90.00
loop_
_atom_site_label
_atom_site_fract_x
_atom_site_fract_y
_atom_site_fract_z
Ba1 0.0000 0.0000 0.0000
Na1 0.0000 0.5000 0.0000
Ti1 0.5000 0.5000 0.5000
C1 0.0000 0.0000 0.5000
```

***

# 3
## Ca4Al5Si6 (PBE)

Data for a relaxed structure of Ca4Al5Si6.

Results
- E_form (uncorrected): -0.308 eV/atom

```
data_Ca4Al5Si6
_chemical_formula_sum 'Ca16 Al20 Si24'
_space_group_name_H-M_alt 'C m c 21'
_space_group_IT_number 36
_cell_length_a 4.2926
_cell_length_b 18.9221
_cell_length_c 15.5146
_cell_angle_alpha 90.00
_cell_angle_beta 90.00
_cell_angle_gamma 90.00
loop_
_space_group_symop_operation_xyz
'x,y,z'
'-x,-y,z+1/2'
'-x,y,z'
'x,-y,z+1/2'
'x+1/2,y+1/2,z'
'-x+1/2,-y+1/2,z+1/2'
'-x+1/2,y+1/2,z'
'x+1/2,-y+1/2,z+1/2'
loop_
_atom_site_label
_atom_site_fract_x
_atom_site_fract_y
_atom_site_fract_z
Ca1 0.0000 0.0073 0.0000
Ca2 0.0000 0.0300 0.2676
Ca3 0.0000 0.1674 0.8094
Ca4 0.0000 0.1769 0.4448
Al1 0.0000 0.1463 0.1288
Al2 0.0000 0.2982 0.1253
Al3 0.0000 0.3469 0.7693
Al4 0.0000 0.3571 0.4833
Al5 0.0000 0.4352 0.1839
Si1 0.0000 0.1191 0.6223
Si2 0.0000 0.2158 0.9936
Si3 0.0000 0.2241 0.2605
Si4 0.0000 0.4304 0.6302
Si5 0.0000 0.4313 0.8971
Si6 0.0000 0.4456 0.3554
```

***

# 4
## Ba2LiCoAg (PBE)

Data for a relaxed structure of Ba2LiCoAg.

Results
- Calculated formation energy: 0.438 eV/atom

```
data_Ba2LiCoAg
_chemical_formula_sum 'Ba2 Li1 Co1 Ag1'
_space_group_name_H-M_alt 'P 4/m m m'
_space_group_IT_number 123
_space_group_name_Hall '-P 4 2'
_cell_length_a 6.3737
_cell_length_b 6.3737
_cell_length_c 4.8873
_cell_angle_alpha 90.00
_cell_angle_beta 90.00
_cell_angle_gamma 90.00
loop_
_atom_site_label
_atom_site_fract_x
_atom_site_fract_y
_atom_site_fract_z
Ba1 0.0000 0.5000 0.0000
Li1 0.0000 0.0000 0.5000
Co1 0.5000 0.5000 0.5000
Ag1 0.5000 0.5000 0.0000
```

***

# 5
## Ca2PbAu6 (PBE)

Data for a relaxed structure of Ca2PbAu6.

Results
- Calculated formation energy: -0.438 eV/atom

```
data_Ca2PbAu6
_chemical_formula_sum 'Ca4 Pb2 Au12'
_space_group_name_H-M_alt 'C 1 m 1'
_space_group_IT_number 8
_cell_length_a 15.2573
_cell_length_b 7.5145
_cell_length_c 3.8294
_cell_angle_alpha 90.00
_cell_angle_beta 103.95
_cell_angle_gamma 90.00
loop_
_space_group_symop_operation_xyz
'x,y,z'
'x,-y,z'
'x+1/2,y+1/2,z'
'x+1/2,-y+1/2,z'
loop_
_atom_site_label
_atom_site_fract_x
_atom_site_fract_y
_atom_site_fract_z
Ca1 0.0000 0.0000 0.0000
Ca2 0.2331 0.5000 0.7378
Pb1 0.4044 0.0000 0.9068
Au1 0.0515 0.3047 0.5535
Au2 0.1853 0.1914 0.1879
Au3 0.3658 0.3074 0.3678
```

***

# 6
## Sr3Mn (PBE)

Data for a relaxed structure of Sr3Mn.

Results
- Calculated formation energy: 0.465 eV/atom

```
data_Sr3Mn
_chemical_formula_sum 'Sr6 Mn2'
_space_group_name_H-M_alt 'I 4/m m m'
_space_group_IT_number 139
_space_group_name_Hall '-I 4 2'
_cell_length_a 5.4987
_cell_length_b 5.4987
_cell_length_c 11.0393
_cell_angle_alpha 90.00
_cell_angle_beta 90.00
_cell_angle_gamma 90.00
loop_
_atom_site_label
_atom_site_fract_x
_atom_site_fract_y
_atom_site_fract_z
Sr1 0.0000 0.0000 0.0000
Sr2 0.0000 0.5000 0.2500
Mn1 0.0000 0.0000 0.5000
```

***

# 7
## Tb7Sb2Pb2 (PBE)

Data for a relaxed structure of Tb7Sb2Pb2.

Results
- E_form (uncorrected): -0.345 eV/atom

```
data_Tb7Sb2Pb2
_chemical_formula_sum 'Tb14 Sb4 Pb4'
_space_group_name_H-M_alt 'C m m m'
_space_group_IT_number 65
_space_group_name_Hall '-C 2 2'
_cell_length_a 8.9733
_cell_length_b 11.1195
_cell_length_c 7.1712
_cell_angle_alpha 90.00
_cell_angle_beta 90.00
_cell_angle_gamma 90.00
loop_
_atom_site_label
_atom_site_fract_x
_atom_site_fract_y
_atom_site_fract_z
Tb1 0.0000 0.0000 0.0000
Tb2 0.0000 0.5000 0.2596
Tb3 0.2500 0.2500 0.2733
Sb1 0.0000 0.2767 0.0000
Pb1 0.1850 0.0000 0.5000
```

***

# 8
## Nb2InTcPb (PBE)

Data for a relaxed structure of Nb2InTcPb.

Results
- Calculated formation energy: 1.905 eV/atom

```
data_Nb2InTcPb
_chemical_formula_sum 'Nb2 In1 Tc1 Pb1'
_space_group_name_H-M_alt 'P 4/m m m'
_space_group_IT_number 123
_space_group_name_Hall '-P 4 2'
_cell_length_a 5.1339
_cell_length_b 5.1339
_cell_length_c 4.9557
_cell_angle_alpha 90.00
_cell_angle_beta 90.00
_cell_angle_gamma 90.00
loop_
_atom_site_label
_atom_site_fract_x
_atom_site_fract_y
_atom_site_fract_z
Nb1 0.0000 0.5000 0.0000
In1 0.0000 0.0000 0.5000
Tc1 0.5000 0.5000 0.5000
Pb1 0.5000 0.5000 0.0000
```

***

# 9
## ReAg2As (PBE)

Data for a relaxed structure of ReAg2As.

Results
- Calculated formation energy: 0.343 eV/atom

```
data_ReAg2As
_chemical_formula_sum 'Re1 Ag2 As1'
_space_group_name_H-M_alt 'P 4 m m'
_space_group_IT_number 99
_cell_length_a 3.1053
_cell_length_b 3.1053
_cell_length_c 7.1034
_cell_angle_alpha 90.00
_cell_angle_beta 90.00
_cell_angle_gamma 90.00
loop_
_space_group_symop_operation_xyz
'x,y,z'
'-y,x,z'
'-x,-y,z'
'y,-x,z'
'-x,y,z'
'y,x,z'
'x,-y,z'
'-y,-x,z'
loop_
_atom_site_label
_atom_site_fract_x
_atom_site_fract_y
_atom_site_fract_z
Re1 0.0000 0.0000 0.0000
Ag1 0.0000 0.0000 0.5376
Ag2 0.5000 0.5000 0.2721
As1 0.5000 0.5000 0.8223
```

***

# 10
## Pm2PrTm (PBE)

Data for a relaxed structure of Pm2PrTm.

Results
- Polymorph energy (0 for the lowest one): 0.0063 eV per atom
- Calculated formation energy: 0.022 eV/atom

```
data_Pm2PrTm
_chemical_formula_sum 'Pm6 Pr3 Tm3'
_space_group_name_H-M_alt 'R 3 m'
_space_group_IT_number 160
_space_group_name_Hall 'R 3 -2"'
_cell_length_a 3.6352
_cell_length_b 3.6352
_cell_length_c 35.4037
_cell_angle_alpha 90.00
_cell_angle_beta 90.00
_cell_angle_gamma 120.00
loop_
_atom_site_label
_atom_site_fract_x
_atom_site_fract_y
_atom_site_fract_z
Pm1 0.0000 0.0000 0.0000
Pm2 0.0000 0.0000 0.1715
Pr1 0.0000 0.0000 0.4190
Tm1 0.0000 0.0000 0.5858
```

***

# 11
## Ba2PaCrS6 (PBE)

Data for a relaxed structure of Ba2PaCrS6.

Results
- E_form (uncorrected): -1.617 eV/atom

```
data_Ba2PaCrS6
_chemical_formula_sum 'Ba4 Pa2 Cr2 S12'
_space_group_name_H-M_alt 'P 1 21/c 1'
_space_group_IT_number 14
_cell_length_a 7.0610
_cell_length_b 7.0269
_cell_length_c 12.1826
_cell_angle_alpha 90.00
_cell_angle_beta 125.23
_cell_angle_gamma 90.00
loop_
_space_group_symop_operation_xyz
'x,y,z'
'-x,-y,-z'
'-x,y+1/2,-z+1/2'
'x,-y+1/2,z+1/2'
loop_
_atom_site_label
_atom_site_fract_x
_atom_site_fract_y
_atom_site_fract_z
Ba1 0.2428 0.0268 0.2483
Pa1 0.5000 0.0000 0.0000
Cr1 0.0000 0.0000 0.5000
S1 0.1885 0.2350 0.9738
S2 0.2379 0.7148 0.9739
S3 0.2901 0.0013 0.7395
```

***

# 12
## Be3GePd (PBE)

Data for a relaxed structure of Be3GePd.

Results
- Polymorph energy (0 for the lowest one): 0.2572 eV per atom
- Calculated formation energy: 0.764 eV/atom

```
data_Be3GePd
_chemical_formula_sum 'Be3 Ge1 Pd1'
_space_group_name_H-M_alt 'P m -3 m'
_space_group_IT_number 221
_space_group_name_Hall '-P 4 2 3'
_cell_length_a 4.1704
_cell_length_b 4.1704
_cell_length_c 4.1704
_cell_angle_alpha 90.00
_cell_angle_beta 90.00
_cell_angle_gamma 90.00
loop_
_atom_site_label
_atom_site_fract_x
_atom_site_fract_y
_atom_site_fract_z
Be1 0.0000 0.0000 0.5000
Ge1 0.0000 0.0000 0.0000
Pd1 0.5000 0.5000 0.5000
```

***

# 13
## Tb2Er3Tc2 (PBE)

Data for a relaxed structure of Tb2Er3Tc2.

Results
- Calculated formation energy: -0.082 eV/atom

```
data_Tb2Er3Tc2
_chemical_formula_sum 'Tb4 Er6 Tc4'
_space_group_name_H-M_alt 'C 1 2/m 1'
_space_group_IT_number 12
_cell_length_a 12.0263
_cell_length_b 3.8455
_cell_length_c 8.4049
_cell_angle_alpha 90.00
_cell_angle_beta 112.98
_cell_angle_gamma 90.00
loop_
_space_group_symop_operation_xyz
'x,y,z'
'-x,-y,-z'
'-x,y,-z'
'x,-y,z'
'x+1/2,y+1/2,z'
'-x+1/2,-y+1/2,-z'
'-x+1/2,y+1/2,-z'
'x+1/2,-y+1/2,z'
loop_
_atom_site_label
_atom_site_fract_x
_atom_site_fract_y
_atom_site_fract_z
Tb1 0.1615 0.0000 0.3139
Er1 0.0000 0.5000 0.5000
Er2 0.1257 0.5000 0.9318
Tc1 0.1757 0.0000 0.7142
```

***

# 14
## AgPbCl2 (PBE)

Data for a relaxed structure of AgPbCl2.

Results
- E_form (uncorrected): -0.355 eV/atom
- Polymorph energy (0 for the lowest one): 0.1423 eV per atom

```
data_AgPbCl2
_chemical_formula_sum 'Ag1 Pb1 Cl2'
_space_group_name_H-M_alt 'P m m m'
_space_group_IT_number 47
_cell_length_a 3.6796
_cell_length_b 4.4998
_cell_length_c 6.0948
_cell_angle_alpha 90.00
_cell_angle_beta 90.00
_cell_angle_gamma 90.00
loop_
_space_group_symop_operation_xyz
'x,y,z'
'-x,-y,-z'
'-x,-y,z'
'x,y,-z'
'x,-y,-z'
'-x,y,z'
'-x,y,-z'
'x,-y,z'
loop_
_atom_site_label
_atom_site_fract_x
_atom_site_fract_y
_atom_site_fract_z
Ag1 0.0000 0.0000 0.0000
Pb1 0.5000 0.0000 0.5000
Cl1 0.0000 0.5000 0.5000
Cl2 0.5000 0.5000 0.0000
```

***

# 15
## FeB18H32C8S2 (PBE)

Data for a relaxed structure of FeB18H32C8S2.

Results
- Total DFT energy (no corrections): -655.0 eV/cell

```
data_FeB18H32C8S2
_chemical_formula_sum 'Fe2 B36 H64 C16 S4'
_space_group_name_H-M_alt 'P 21 21 2'
_space_group_IT_number 18
_cell_length_a 10.9167
_cell_length_b 13.6154
_cell_length_c 8.3199
_cell_angle_alpha 90.00
_cell_angle_beta 90.00
_cell_angle_gamma 90.00
loop_
_space_group_symop_operation_xyz
'x,y,z'
'-x,-y,z'
'x+1/2,-y+1/2,-z'
'-x+1/2,y+1/2,-z'
loop_
_atom_site_label
_atom_site_fract_x
_atom_site_fract_y
_atom_site_fract_z
Fe1 0.0000 0.0000 0.1563
B1 0.0728 0.8756 0.0413
B2 0.0813 0.8710 0.2536
B3 0.1427 0.9838 0.3233
B4 0.1712 0.3823 0.8645
B5 0.1946 0.8087 0.1367
B6 0.2030 0.4901 0.7515
B7 0.2071 0.4929 0.9631
B8 0.2272 0.8826 0.9685
B9 0.2379 0.8756 0.3118
H1 0.0030 0.8346 0.9526
H2 0.0119 0.1090 0.6077
H3 0.0123 0.6400 0.2394
H4 0.0246 0.3797 0.4475
H5 0.0398 0.2350 0.6614
H6 0.0700 0.3494 0.8739
H7 0.1122 0.8044 0.6030
H8 0.1180 0.0268 0.8857
H9 0.1271 0.6612 0.3906
H10 0.1295 0.5397 0.6831
H11 0.1324 0.0235 0.4511
H12 0.1447 0.5452 0.0431
H13 0.1839 0.1254 0.1417
H14 0.2003 0.7212 0.1277
H15 0.2258 0.3367 0.5679
H16 0.2495 0.3555 0.1646
C1 0.0137 0.8145 0.5848
C2 0.0291 0.6645 0.3628
C3 0.1389 0.9849 0.9938
C4 0.1781 0.0457 0.1516
S1 0.0262 0.2111 0.3790
```

***

# 16
## BeIn2Pd8 (PBE)

Data for a relaxed structure of BeIn2Pd8.

Results
- Calculated formation energy: -0.372 eV/atom

```
data_BeIn2Pd8
_chemical_formula_sum 'Be2 In4 Pd16'
_space_group_name_H-M_alt 'I m m m'
_space_group_IT_number 71
_space_group_name_Hall '-I 2 2'
_cell_length_a 4.5849
_cell_length_b 5.8199
_cell_length_c 13.1088
_cell_angle_alpha 90.00
_cell_angle_beta 90.00
_cell_angle_gamma 90.00
loop_
_atom_site_label
_atom_site_fract_x
_atom_site_fract_y
_atom_site_fract_z
Be1 0.0000 0.0000 0.0000
In1 0.0000 0.0000 0.3118
Pd1 0.0000 0.2496 0.5000
Pd2 0.0000 0.2569 0.1267
Pd3 0.0000 0.5000 0.3197
```

***

# 17
## Be5Tl3 (PBE)

Data for a relaxed structure of Be5Tl3.

Results
- Polymorph energy (0 for the lowest one): 0.0000 eV per atom
- Calculated formation energy: 0.455 eV/atom

```
data_Be5Tl3
_chemical_formula_sum 'Be10 Tl6'
_space_group_name_H-M_alt 'P 1 21/m 1'
_space_group_IT_number 11
_cell_length_a 8.4294
_cell_length_b 4.0774
_cell_length_c 8.7016
_cell_angle_alpha 90.00
_cell_angle_beta 108.76
_cell_angle_gamma 90.00
loop_
_space_group_symop_operation_xyz
'x,y,z'
'-x,-y,-z'
'-x,y+1/2,-z'
'x,-y+1/2,z'
loop_
_atom_site_label
_atom_site_fract_x
_atom_site_fract_y
_atom_site_fract_z
Be1 0.0067 0.2500 0.4425
Be2 0.1190 0.2500 0.7126
Be3 0.2080 0.7500 0.7617
Be4 0.2317 0.0031 0.9724
Tl1 0.1050 0.2500 0.1833
Tl2 0.3138 0.7500 0.4880
Tl3 0.4783 0.2500 0.8250
```